1.
Li3ZnAg4 | PBE-GGA | relaxed

Structure (extended XYZ):
```
16
Lattice="5.495 0.000 0.000 0.000 9.281 0.000 0.000 0.000 5.236" Properties=species:S:1:pos:R:3 pbc="T T T"
Li 0.000 0.000 0.000
Li 0.000 2.349 3.908
Li 0.000 6.932 3.908
Li 2.747 2.292 1.290
Li 2.747 4.640 2.618
Li 2.747 6.989 1.290
Zn 0.000 4.640 2.575
Zn 2.747 0.000 5.193
Ag 0.000 2.338 1.309
Ag 0.000 6.943 1.309
Ag 1.373 0.000 2.543
Ag 1.374 4.640 5.161
Ag 2.747 2.303 3.927
Ag 2.747 6.978 3.927
Ag 4.122 0.000 2.543
Ag 4.120 4.640 5.161
```

## Properties
Magnetization ... 0.00 μB per atom
Calculated total energy ... -2.41 eV per atom
DFT formation energy ... -0.1094 eV/atom

2.
LiZnAg2 | PBE-GGA | relaxed

Structure (extended XYZ):
```
4
Lattice="2.945 0.000 0.000 0.000 3.704 0.000 -0.162 0.000 5.910" Properties=species:S:1:pos:R:3 pbc="T T T"
Li 0.000 0.000 0.000
Zn -0.081 0.000 2.955
Ag 1.427 1.852 1.469
Ag 1.356 1.852 4.441
```

## Properties
Magnetization ... 0.00 μB per atom
Calculated total energy ... -2.37 eV per atom
DFT formation energy ... -0.1492 eV/atom

Look up the calculated total energy of the first one. -2.41 eV per atom

The highest DFT formation energy belongs to which entry? Li3ZnAg4

Look up the calculated total energy of the second one. -2.37 eV per atom